1.
Compound: YTmAg
Source: the Alexandria database
Functional: PBE-GGA
Structure: relaxed

Structure (POSCAR):
```
YTmAg
1.0
-1.999 -1.599 -2.501
-1.777 -1.770 2.552
-2.246 6.322 0.313
Y Tm Ag
1 1 1
Cartesian
-0.131 0.146 0.011
-2.589 2.905 0.212
-3.302 -0.099 0.142
```

Properties
SG: I4mm
DOS(E_F) (states/eV per cell): 3.6
Raw total energy (eV per atom): -4.782
Offset from the most stable computed form (meV per atom): 0
Formation energy from the elements (meV/atom): -186


2.
Compound: KCa2Os
Source: the Alexandria database
Functional: PBE-GGA
Structure: relaxed

Structure (POSCAR):
```
KCa2Os
1.0
11.985 0.008 0.005
11.435 3.588 0.005
11.435 1.756 3.129
Ca K Os
2 1 1
Cartesian
0.969 0.149 0.087
16.458 2.527 1.482
8.714 1.338 0.785
26.141 4.014 2.354
```

Properties
SG: R-3m
DOS(E_F) (states/eV per cell): 2.9
Raw total energy (eV per atom): -3.476
Offset from the most stable computed form (meV per atom): 196
Formation energy from the elements (meV/atom): 607


3.
Compound: Li2CdRe
Source: the Alexandria database
Functional: PBE-GGA
Structure: relaxed

Structure (POSCAR):
```
Li2CdRe
1.0
6.839 0.000 0.000
0.000 6.839 0.000
3.419 3.419 2.728
Re Li Cd
2 4 2
Cartesian
0.000 0.000 0.000
6.839 3.419 1.364
5.098 1.710 0.682
1.741 5.129 0.682
5.129 5.160 2.046
8.548 8.517 2.046
3.419 3.419 0.000
3.419 6.839 1.364
```

Properties
SG: I-42d
DOS(E_F) (states/eV per cell): 4.9
Raw total energy (eV per atom): -3.392
Formation energy from the elements (meV/atom): 906


4.
Compound: Cs2TmAlO4
Source: the Alexandria database
Functional: PBE-GGA
Structure: relaxed

Structure (POSCAR):
```
Cs2TmAlO4
1.0
5.481 0.000 0.000
2.741 6.386 0.000
2.741 0.000 11.696
Cs Tm Al O
4 2 2 8
Cartesian
2.741 0.000 7.528
5.481 0.000 4.168
6.852 3.193 10.016
6.852 3.193 1.680
6.852 3.193 5.848
0.000 0.000 0.000
4.111 3.193 5.848
2.741 0.000 0.000
4.319 5.354 0.928
4.319 1.032 10.768
9.385 5.354 10.768
3.903 1.032 0.928
5.274 4.225 4.920
5.274 2.161 6.776
8.430 4.225 6.776
2.948 2.161 4.920
```

Properties
Formation energy without anion corrections (eV per atom): -2.34
SG: Fddd
DOS(E_F) (states/eV per cell): 0.0
Raw total energy (eV per atom): -6.057


5.
Compound: CaTa2Pb
Source: the Alexandria database
Functional: PBE-GGA
Structure: relaxed

Structure (POSCAR):
```
CaTa2Pb
1.0
-0.313 -2.736 1.274
2.928 -0.586 -0.539
2.413 3.867 8.896
Pb Ca Ta
1 1 2
Cartesian
3.117 1.239 7.040
1.911 -0.694 2.591
2.374 3.805 8.754
1.245 1.995 4.590
```

Properties
SG: P4/mmm
DOS(E_F) (states/eV per cell): 6.3
Raw total energy (eV per atom): -6.560
Formation energy from the elements (meV/atom): 794


6.
Compound: SrFe2Ni2
Source: the Alexandria database
Functional: PBE-GGA
Structure: relaxed

Structure (POSCAR):
```
SrFe2Ni2
1.0
-1.130 2.894 2.673
-3.922 -1.087 -0.481
-2.071 -2.408 4.873
Sr Fe Ni
1 2 2
Cartesian
0.000 0.000 0.000
-2.863 0.695 4.321
-4.260 -1.296 2.744
-2.410 0.056 2.063
-4.714 -0.657 5.002
```

Properties
SG: I4/mmm
DOS(E_F) (states/eV per cell): 3.4
Raw total energy (eV per atom): -5.861
Offset from the most stable computed form (meV per atom): 0
Formation energy from the elements (meV/atom): 173